--- A ---
A plane-wave DFT calculation with PBE was carried out for a geometry-optimized AlSbRu3 structure.

As for the total magnetic moment: 0.000 μB/atom.

The space group is Pm-3m (No. 221) and the conventional cell measures 4.442, 4.442 and 4.442 Å, with angles of 90.00, 90.00 and 90.00 degrees. Symmetry generates all atoms from Al at (0.000, 0.000, 0.000), Sb at (0.500, 0.500, 0.500) and Ru at (0.000, 0.000, 0.500).

--- B ---
A plane-wave DFT calculation with PBE was carried out for a geometry-optimized AlSbRu3 structure.

As for the total magnetic moment: 0.398 μB/atom.

The space group is Pm-3m (No. 221) and the conventional cell measures 4.766, 4.766 and 4.766 Å, with angles of 90.00, 90.00 and 90.00 degrees. Symmetry generates all atoms from Al at (0.000, 0.000, 0.000), Sb at (0.500, 0.500, 0.500) and Ru at (0.000, 0.500, 0.500).

Stability check: which of them is least stable? B.

--- A ---
A plane-wave DFT calculation with PBE was carried out for a geometry-optimized Sc3AlRu structure.

As for the total magnetic moment: 0.000 μB/atom.

The space group is Pm-3m (No. 221) and the conventional cell measures 4.945, 4.945 and 4.945 Å, with angles of 90.00, 90.00 and 90.00 degrees. Symmetry generates all atoms from Sc at (0.000, 0.000, 0.500), Al at (0.500, 0.500, 0.500) and Ru at (0.000, 0.000, 0.000).

--- B ---
A plane-wave DFT calculation with PBE was carried out for a geometry-optimized Sc3AlRu structure.

As for the total magnetic moment: 0.002 μB/atom.

The space group is Pm-3m (No. 221) and the conventional cell measures 4.961, 4.961 and 4.961 Å, with angles of 90.00, 90.00 and 90.00 degrees. Symmetry generates all atoms from Sc at (0.000, 0.000, 0.500), Al at (0.000, 0.000, 0.000) and Ru at (0.500, 0.500, 0.500).

Stability check: which of them is least stable? B.

--- A ---
A plane-wave DFT calculation with PBE was carried out for a geometry-optimized AlRu2Se structure.

As for the total magnetic moment: 0.000 μB/atom.

The space group is Imm2 (No. 44) and the conventional cell measures 3.006, 4.188 and 9.496 Å, with angles of 90.00, 90.00 and 90.00 degrees. Symmetry generates all atoms from Al at (0.000, 0.000, 0.000), Ru at (0.000, 0.000, 0.527), Ru at (0.000, 0.500, 0.761) and Se at (0.000, 0.500, 0.236).

--- B ---
A plane-wave DFT calculation with PBE was carried out for a geometry-optimized AlRu2Se structure.

As for the total magnetic moment: 0.000 μB/atom.

The space group is P4mm (No. 99) and the conventional cell measures 2.998, 2.998 and 7.587 Å, with angles of 90.00, 90.00 and 90.00 degrees. Symmetry generates all atoms from Al at (0.000, 0.000, 0.000), Ru at (0.000, 0.000, 0.417), Ru at (0.500, 0.500, 0.167) and Se at (0.500, 0.500, 0.599).

Stability check: which of them is least stable? B.

--- A ---
A plane-wave DFT calculation with PBE was carried out for a geometry-optimized AlRu2Se structure.

As for the total magnetic moment: 0.000 μB/atom.

The space group is P4/mmm (No. 123) and the conventional cell measures 3.058, 3.058 and 6.115 Å, with angles of 90.00, 90.00 and 90.00 degrees. Symmetry generates all atoms from Al at (0.000, 0.000, 0.000), Ru at (0.500, 0.500, 0.247) and Se at (0.000, 0.000, 0.500).

--- B ---
A plane-wave DFT calculation with PBE was carried out for a geometry-optimized AlRu2Se structure.

As for the total magnetic moment: 0.000 μB/atom.

The space group is I-4m2 (No. 119) and the conventional cell measures 3.633, 3.633 and 9.014 Å, with angles of 90.00, 90.00 and 90.00 degrees. Symmetry generates all atoms from Al at (0.000, 0.000, 0.000), Ru at (0.000, 0.000, 0.500), Ru at (0.000, 0.500, 0.750) and Se at (0.000, 0.500, 0.250).

--- C ---
A plane-wave DFT calculation with PBE was carried out for a geometry-optimized AlRu2Se structure.

As for the total magnetic moment: 0.000 μB/atom.

The space group is Pmm2 (No. 25) and the conventional cell measures 2.984, 4.603 and 4.321 Å, with angles of 90.00, 90.00 and 90.00 degrees. Symmetry generates all atoms from Al at (0.000, 0.000, 0.000), Ru at (0.000, 0.500, 0.707), Ru at (0.500, 0.000, 0.511) and Se at (0.500, 0.500, 0.236).

--- D ---
A plane-wave DFT calculation with PBE was carried out for a geometry-optimized AlRu2Se structure.

As for the total magnetic moment: 0.000 μB/atom.

The space group is I-42d (No. 122) and the conventional cell measures 5.632, 5.632 and 10.461 Å, with angles of 90.00, 90.00 and 90.00 degrees. Symmetry generates all atoms from Al at (0.000, 0.000, 0.000), Ru at (0.237, 0.250, 0.625) and Se at (0.000, 0.000, 0.500).

Stability check: which of them is least stable? D.

--- A ---
A plane-wave DFT calculation with PBE was carried out for a geometry-optimized Al2Ru2Se structure.

As for the total magnetic moment: 0.010 μB/atom.

The space group is I4/mmm (No. 139) and the conventional cell measures 3.562, 3.562 and 13.626 Å, with angles of 90.00, 90.00 and 90.00 degrees. Symmetry generates all atoms from Al at (0.000, 0.000, 0.106), Ru at (0.000, 0.500, 0.250) and Se at (0.000, 0.000, 0.500).

--- B ---
A plane-wave DFT calculation with PBE was carried out for a geometry-optimized Al2Ru2Se structure.

As for the total magnetic moment: 0.000 μB/atom.

The space group is I4/mmm (No. 139) and the conventional cell measures 3.538, 3.538 and 12.780 Å, with angles of 90.00, 90.00 and 90.00 degrees. Symmetry generates all atoms from Al at (0.000, 0.500, 0.250), Ru at (0.000, 0.000, 0.106) and Se at (0.000, 0.000, 0.500).

Stability check: which of them is least stable? A.

--- A ---
A plane-wave DFT calculation with PBE was carried out for a geometry-optimized AlZnSiRu2 structure.

As for the total magnetic moment: 0.000 μB/atom.

The space group is P4/mmm (No. 123) and the conventional cell measures 4.468, 4.468 and 4.334 Å, with angles of 90.00, 90.00 and 90.00 degrees. Symmetry generates all atoms from Al at (0.000, 0.000, 0.000), Zn at (0.000, 0.000, 0.500), Si at (0.500, 0.500, 0.500) and Ru at (0.000, 0.500, 0.000).

--- B ---
A plane-wave DFT calculation with PBE was carried out for a geometry-optimized AlZnSiRu2 structure.

As for the total magnetic moment: 0.000 μB/atom.

The space group is P4/mmm (No. 123) and the conventional cell measures 4.587, 4.587 and 4.132 Å, with angles of 90.00, 90.00 and 90.00 degrees. Symmetry generates all atoms from Al at (0.000, 0.000, 0.000), Zn at (0.500, 0.500, 0.500), Si at (0.500, 0.500, 0.000) and Ru at (0.000, 0.500, 0.500).

Stability check: which of them is least stable? B.

--- A ---
A plane-wave DFT calculation with PBE was carried out for a geometry-optimized Sm4AlRu structure.

As for the total magnetic moment: 0.000 μB/atom.

The space group is C2/c (No. 15) and the conventional cell measures 8.918, 13.595 and 6.196 Å, with angles of 90.00, 115.73 and 90.00 degrees. Symmetry generates all atoms from Sm at (0.115, 0.176, 0.075), Sm at (0.215, 0.431, 0.330), Al at (0.000, 0.374, 0.750) and Ru at (0.000, 0.000, 0.250).

--- B ---
A plane-wave DFT calculation with PBE was carried out for a geometry-optimized Sm4AlRu structure.

As for the total magnetic moment: 0.000 μB/atom.

The space group is F-43m (No. 216) and the conventional cell measures 13.722, 13.722 and 13.722 Å, with angles of 90.00, 90.00 and 90.00 degrees. Symmetry generates all atoms from Sm at (0.000, 0.000, 0.189), Sm at (0.055, 0.250, 0.750), Sm at (0.099, 0.099, 0.401), Al at (0.175, 0.175, 0.175) and Ru at (0.112, 0.112, 0.612).

Stability check: which of them is least stable? A.

--- A ---
A plane-wave DFT calculation with PBE was carried out for a geometry-optimized AlSn3Ru structure.

As for the total magnetic moment: 0.400 μB/atom.

The space group is Pm-3m (No. 221) and the conventional cell measures 5.164, 5.164 and 5.164 Å, with angles of 90.00, 90.00 and 90.00 degrees. Symmetry generates all atoms from Al at (0.000, 0.000, 0.000), Sn at (0.000, 0.000, 0.500) and Ru at (0.500, 0.500, 0.500).

--- B ---
A plane-wave DFT calculation with PBE was carried out for a geometry-optimized AlSn3Ru structure.

As for the total magnetic moment: 0.000 μB/atom.

The space group is Pm-3m (No. 221) and the conventional cell measures 5.132, 5.132 and 5.132 Å, with angles of 90.00, 90.00 and 90.00 degrees. Symmetry generates all atoms from Al at (0.000, 0.000, 0.000), Sn at (0.000, 0.500, 0.500) and Ru at (0.500, 0.500, 0.500).

Stability check: which of them is least stable? A.

--- A ---
A plane-wave DFT calculation with PBE was carried out for a geometry-optimized AlSnRu3 structure.

As for the total magnetic moment: 0.601 μB/atom.

The space group is Pm-3m (No. 221) and the conventional cell measures 4.806, 4.806 and 4.806 Å, with angles of 90.00, 90.00 and 90.00 degrees. Symmetry generates all atoms from Al at (0.000, 0.000, 0.000), Sn at (0.500, 0.500, 0.500) and Ru at (0.000, 0.500, 0.500).

--- B ---
A plane-wave DFT calculation with PBE was carried out for a geometry-optimized AlSnRu3 structure.

As for the total magnetic moment: 0.169 μB/atom.

The space group is Pm-3m (No. 221) and the conventional cell measures 4.460, 4.460 and 4.460 Å, with angles of 90.00, 90.00 and 90.00 degrees. Symmetry generates all atoms from Al at (0.000, 0.000, 0.000), Sn at (0.500, 0.500, 0.500) and Ru at (0.000, 0.000, 0.500).

Stability check: which of them is least stable? A.

--- A ---
A plane-wave DFT calculation with PBE was carried out for a geometry-optimized SrAlRu3 structure.

As for the total magnetic moment: 0.976 μB/atom.

The space group is Pm-3m (No. 221) and the conventional cell measures 4.899, 4.899 and 4.899 Å, with angles of 90.00, 90.00 and 90.00 degrees. Symmetry generates all atoms from Sr at (0.000, 0.000, 0.000), Al at (0.500, 0.500, 0.500) and Ru at (0.000, 0.000, 0.500).

--- B ---
A plane-wave DFT calculation with PBE was carried out for a geometry-optimized SrAlRu3 structure.

As for the total magnetic moment: 0.342 μB/atom.

The space group is Pm-3m (No. 221) and the conventional cell measures 4.629, 4.629 and 4.629 Å, with angles of 90.00, 90.00 and 90.00 degrees. Symmetry generates all atoms from Sr at (0.000, 0.000, 0.000), Al at (0.500, 0.500, 0.500) and Ru at (0.000, 0.500, 0.500).

Stability check: which of them is least stable? A.

--- A ---
A plane-wave DFT calculation with PBE was carried out for a geometry-optimized SrY2AlRu structure.

As for the total magnetic moment: 0.000 μB/atom.

The space group is P4/mmm (No. 123) and the conventional cell measures 5.358, 5.358 and 5.049 Å, with angles of 90.00, 90.00 and 90.00 degrees. Symmetry generates all atoms from Sr at (0.000, 0.000, 0.000), Y at (0.000, 0.500, 0.500), Al at (0.500, 0.500, 0.000) and Ru at (0.500, 0.500, 0.500).

--- B ---
A plane-wave DFT calculation with PBE was carried out for a geometry-optimized SrY2AlRu structure.

As for the total magnetic moment: 0.000 μB/atom.

The space group is P4/mmm (No. 123) and the conventional cell measures 5.288, 5.288 and 5.710 Å, with angles of 90.00, 90.00 and 90.00 degrees. Symmetry generates all atoms from Sr at (0.000, 0.000, 0.000), Y at (0.000, 0.500, 0.500), Al at (0.500, 0.500, 0.000) and Ru at (0.000, 0.000, 0.500).

Stability check: which of them is least stable? B.

--- A ---
A plane-wave DFT calculation with PBE was carried out for a geometry-optimized Ta2AlRu2 structure.

As for the total magnetic moment: 0.000 μB/atom.

The space group is I4/mmm (No. 139) and the conventional cell measures 4.240, 4.240 and 10.601 Å, with angles of 90.00, 90.00 and 90.00 degrees. Symmetry generates all atoms from Ta at (0.000, 0.500, 0.250), Al at (0.000, 0.000, 0.000) and Ru at (0.000, 0.000, 0.385).

--- B ---
A plane-wave DFT calculation with PBE was carried out for a geometry-optimized Ta2AlRu2 structure.

As for the total magnetic moment: 0.000 μB/atom.

The space group is P4/mbm (No. 127) and the conventional cell measures 7.386, 7.386 and 3.071 Å, with angles of 90.00, 90.00 and 90.00 degrees. Symmetry generates all atoms from Ta at (0.163, 0.337, 0.000), Al at (0.000, 0.000, 0.500) and Ru at (0.136, 0.636, 0.500).

Stability check: which of them is least stable? A.